# 1
Zr2HgAuSe PBE optimized geometry; raw formation energy = 581 meV per atom; crystal system = tetragonal; VASP energy = -4.251 eV per atom; symmetry = P4/mmm (123); total moment = 0.00 μB/f.u.
1.0
5.219 0.000 0.000
0.000 5.219 0.000
0.000 0.000 5.137
Zr Hg Au Se
2 1 1 1
direct
0.000 0.500 0.000
0.500 0.000 0.000
0.000 0.000 0.500
0.500 0.500 0.000
0.500 0.500 0.500

# 2
Be3PbO PBE optimized geometry; raw formation energy = 1402 meV per atom; crystal system = cubic; distance to the lowest polymorph of the same formula = 1389 meV/atom; VASP energy = -2.567 eV per atom; symmetry = Pm-3m (221); total moment = 0.00 μB/f.u.
1.0
4.537 0.000 0.000
0.000 4.537 0.000
0.000 0.000 4.537
Be Pb O
3 1 1
direct
0.000 0.000 0.500
0.000 0.500 0.000
0.500 0.000 0.000
0.000 0.000 0.000
0.500 0.500 0.500

# 3
NaCa3Te PBE optimized geometry; raw formation energy = -360 meV per atom; crystal system = cubic; distance to the lowest polymorph of the same formula = 0 meV/atom; VASP energy = -2.453 eV per atom; symmetry = Pm-3m (221); total moment = 0.00 μB/f.u.
1.0
6.048 0.000 0.000
0.000 6.048 0.000
0.000 0.000 6.048
Na Ca Te
1 3 1
direct
0.000 0.000 0.000
0.000 0.500 0.500
0.500 0.000 0.500
0.500 0.500 0.000
0.500 0.500 0.500